Entry 1:
This record from Alexandria via LeMat-Bulk describes Cu5HPd6 after structural relaxation. The functional is PBE.

Summary:
Total DFT energy (no corrections)   -0.341 Ry per atom
Crystal system   triclinic
Density   9.90 g cm⁻³
SG   P1, No. 1

Cell and atoms, written as POSCAR:
```
Cu5HPd6
1.0
4.141 0.000 0.000
-0.003 6.346 0.000
-2.043 -3.171 6.110
Cu H Pd
5 1 6
direct
0.000 0.000 0.000
0.019 0.528 0.041
0.340 0.851 0.686
0.361 0.363 0.727
0.681 0.694 0.363
0.630 0.396 0.363
0.179 0.961 0.363
0.181 0.410 0.364
0.519 0.789 0.039
0.524 0.260 0.048
0.838 0.576 0.680
0.841 0.113 0.687
```


Entry 2:
This record from Alexandria via LeMat-Bulk describes TiSbO3 after structural relaxation. The functional is PBE.

Summary:
Formation energy without anion corrections   -4.31 eV per formula unit
Crystal system   cubic
Density   5.37 g cm⁻³
SG   Pm-3m, No. 221

Cell and atoms, written as POSCAR:
```
TiSbO3
1.0
4.067 0.000 0.000
0.000 4.067 0.000
0.000 0.000 4.067
Ti Sb O
1 1 3
direct
0.000 0.000 0.000
0.500 0.500 0.500
0.000 0.500 0.500
0.500 0.000 0.500
0.500 0.500 0.000
```


Entry 3:
This record from Alexandria via LeMat-Bulk describes TbTm2Pa after structural relaxation. The functional is PBE.

Summary:
Crystal system   tetragonal
Density   10.42 g cm⁻³
Energy above the lowest structure with this stoichiometry   0.020 eV per atom
SG   P4/mmm, No. 123

Cell and atoms, written as POSCAR:
```
TbTm2Pa
1.0
3.395 0.000 0.000
0.000 3.395 0.000
0.000 0.000 10.056
Tb Tm Pa
1 2 1
direct
0.000 0.000 0.000
0.500 0.500 0.266
0.500 0.500 0.734
0.000 0.000 0.500
```


Entry 4:
This record from Alexandria via LeMat-Bulk describes CsCd2IrCl after structural relaxation. The functional is PBE.

Summary:
Formation energy without anion corrections   5.44 eV per formula unit
Crystal system   tetragonal
Density   2.56 g cm⁻³
SG   P4/mmm, No. 123

Cell and atoms, written as POSCAR:
```
CsCd2IrCl
1.0
7.785 0.000 0.000
0.000 7.785 0.000
0.000 0.000 6.277
Cs Cd Ir Cl
1 2 1 1
direct
0.000 0.000 0.000
0.000 0.500 0.000
0.500 0.000 0.000
0.500 0.500 0.500
0.000 0.000 0.500
```


Entry 5:
This record from Alexandria via LeMat-Bulk describes Eu2MgS4 after structural relaxation. The functional is PBE.

Summary:
Formation energy without anion corrections   -10.43 eV per formula unit
Crystal system   tetragonal
Density   5.00 g cm⁻³
Energy above the lowest structure with this stoichiometry   0.002 eV per atom
SG   I-42d, No. 122

Cell and atoms, written as POSCAR:
```
Eu2MgS4
1.0
-4.108 4.108 4.497
4.108 -4.108 4.497
4.108 4.108 -4.497
Eu Mg S
4 2 8
direct
0.000 0.625 0.875
0.375 0.250 0.375
0.750 0.125 0.125
0.875 0.000 0.625
0.250 0.750 0.500
0.500 0.500 0.000
0.012 0.884 0.275
0.116 0.391 0.127
0.141 0.366 0.627
0.264 0.988 0.873
0.486 0.859 0.225
0.609 0.736 0.725
0.634 0.262 0.775
0.738 0.514 0.373
```


Entry 6:
This record from Alexandria via LeMat-Bulk describes Ce2Tm2Sb2C after structural relaxation. The functional is PBE.

Summary:
Formation energy without anion corrections   -5.63 eV per formula unit
Crystal system   tetragonal
Density   7.92 g cm⁻³
SG   I4/mmm, No. 139

Cell and atoms, written as POSCAR:
```
Ce2Tm2Sb2C
1.0
4.756 0.000 0.000
0.000 4.756 0.000
0.000 0.000 16.186
Ce Tm Sb C
4 4 4 2
direct
0.000 0.000 0.161
0.000 0.000 0.839
0.500 0.500 0.339
0.500 0.500 0.661
0.000 0.500 0.000
0.000 0.500 0.500
0.500 0.000 0.000
0.500 0.000 0.500
0.000 0.000 0.365
0.000 0.000 0.635
0.500 0.500 0.135
0.500 0.500 0.865
0.000 0.000 0.000
0.500 0.500 0.500
```


Entry 7:
This record from Alexandria via LeMat-Bulk describes Nd3Er2In after structural relaxation. The functional is PBE.

Summary:
Crystal system   orthorhombic
Density   7.84 g cm⁻³
Energy above the lowest structure with this stoichiometry   0.000 eV per atom
SG   Cmmm, No. 65

Cell and atoms, written as POSCAR:
```
Nd3Er2In
1.0
4.997 0.000 0.000
0.000 15.218 0.000
0.000 0.000 4.913
Nd Er In
6 4 2
direct
0.000 0.000 0.000
0.000 0.330 0.000
0.000 0.670 0.000
0.500 0.170 0.000
0.500 0.500 0.000
0.500 0.830 0.000
0.000 0.163 0.500
0.000 0.837 0.500
0.500 0.337 0.500
0.500 0.663 0.500
0.000 0.500 0.500
0.500 0.000 0.500
```


Entry 8:
This record from Alexandria via LeMat-Bulk describes CaPr2Mn after structural relaxation. The functional is PBE.

Summary:
Total DFT energy (no corrections)   -0.368 Ry per atom
Crystal system   tetragonal
Density   4.87 g cm⁻³
SG   P4/mmm, No. 123

Cell and atoms, written as POSCAR:
```
CaPr2Mn
1.0
3.673 0.000 0.000
0.000 3.673 0.000
0.000 0.000 9.524
Ca Pr Mn
1 2 1
direct
0.000 0.000 0.000
0.500 0.500 0.312
0.500 0.500 0.688
0.000 0.000 0.500
```


Entry 9:
This record from Alexandria via LeMat-Bulk describes K7RbHg2 after structural relaxation. The functional is PBE.

Summary:
Total DFT energy (no corrections)   -0.073 Ry per atom
Crystal system   tetragonal
Density   2.12 g cm⁻³
SG   I4/mmm, No. 139

Cell and atoms, written as POSCAR:
```
K7RbHg2
1.0
-3.088 3.088 15.641
3.088 -3.088 15.641
3.088 3.088 -15.641
K Rb Hg
7 1 2
direct
0.000 0.000 0.000
0.118 0.618 0.500
0.250 0.750 0.500
0.382 0.882 0.500
0.618 0.118 0.500
0.750 0.250 0.500
0.882 0.382 0.500
0.500 0.500 0.000
0.181 0.181 0.000
0.819 0.819 0.000
```


Entry 10:
This record from Alexandria via LeMat-Bulk describes KReAs2Br after structural relaxation. The functional is PBE.

Summary:
Formation energy without anion corrections   -0.46 eV per formula unit
Crystal system   tetragonal
Density   5.62 g cm⁻³
Energy above the lowest structure with this stoichiometry   0.000 eV per atom
SG   P4/mmm, No. 123

Cell and atoms, written as POSCAR:
```
KReAs2Br
1.0
4.773 0.000 0.000
0.000 4.773 0.000
0.000 0.000 5.907
K Re As Br
1 1 2 1
direct
0.000 0.000 0.000
0.500 0.500 0.500
0.000 0.500 0.500
0.500 0.000 0.500
0.500 0.500 0.000
```


Entry 11:
This record from Alexandria via LeMat-Bulk describes Fe2Ir after structural relaxation. The functional is PBE.

Summary:
Total DFT energy (no corrections)   -0.561 Ry per atom
Crystal system   cubic
Density   11.33 g cm⁻³
SG   Pa-3, No. 205

Cell and atoms, written as POSCAR:
```
Fe2Ir
1.0
5.627 0.000 0.000
0.000 5.627 0.000
0.000 0.000 5.627
Fe Ir
8 4
direct
0.104 0.104 0.104
0.104 0.396 0.604
0.396 0.604 0.104
0.396 0.896 0.604
0.604 0.104 0.396
0.604 0.396 0.896
0.896 0.604 0.396
0.896 0.896 0.896
0.000 0.000 0.500
0.000 0.500 0.000
0.500 0.000 0.000
0.500 0.500 0.500
```


Entry 12:
This record from Alexandria via LeMat-Bulk describes DyMgZn2Pd4 after structural relaxation. The functional is PBE.

Summary:
Total DFT energy (no corrections)   -0.321 Ry per atom
Crystal system   trigonal
Density   9.24 g cm⁻³
SG   R-3m, No. 166

Cell and atoms, written as POSCAR:
```
DyMgZn2Pd4
1.0
2.244 1.296 7.660
-2.244 1.296 7.660
0.000 -2.591 7.660
Dy Mg Zn Pd
1 1 2 4
direct
0.000 0.000 0.000
0.500 0.500 0.500
0.246 0.246 0.246
0.754 0.754 0.754
0.126 0.126 0.126
0.387 0.387 0.387
0.613 0.613 0.613
0.874 0.874 0.874
```